[1]
! La2GaCu6Pt, relaxed, DFT GGA-PBE; values from VASP
! Energy relative to the elements, eV per atom: -0.2990
! VASP energy, eV/atom: -4.649
! Calculated density, g/cm3: 8.218
&SYSTEM
  ibrav = 0, nat = 10, ntyp = 4
/
ATOMIC_SPECIES
La 138.91 La.upf
Ga 69.72 Ga.upf
Cu 63.55 Cu.upf
Pt 195.08 Pt.upf
CELL_PARAMETERS angstrom
6.0168 -2.4581 0.0000
6.0168 2.4581 0.0000
-6.0114 0.0000 6.3112
ATOMIC_POSITIONS crystal
La 0.0397 0.0397 0.3087
La 0.9603 0.9603 0.6913
Ga 0.5000 0.5000 0.0000
Cu 0.0094 0.5106 0.7715
Cu 0.3236 0.3236 0.0765
Cu 0.4894 0.9906 0.2285
Cu 0.5106 0.0094 0.7715
Cu 0.6764 0.6764 0.9235
Cu 0.9906 0.4894 0.2285
Pt 0.5000 0.5000 0.5000

=====

[2]
! LaGa2CuPt4, relaxed, DFT GGA-PBE; values from VASP
! Energy relative to the elements, eV per atom: -0.7229
! VASP energy, eV/atom: -5.628
! Calculated density, g/cm3: 13.058
&SYSTEM
  ibrav = 0, nat = 8, ntyp = 4
/
ATOMIC_SPECIES
La 138.91 La.upf
Ga 69.72 Ga.upf
Cu 63.55 Cu.upf
Pt 195.08 Pt.upf
CELL_PARAMETERS angstrom
2.1521 1.2425 8.8952
-2.1521 1.2425 8.8952
0.0000 -2.4850 8.8952
ATOMIC_POSITIONS crystal
La 0.0000 0.0000 0.0000
Ga 0.2366 0.2366 0.2366
Ga 0.7634 0.7634 0.7634
Cu 0.5000 0.5000 0.5000
Pt 0.1332 0.1332 0.1332
Pt 0.4044 0.4044 0.4044
Pt 0.5956 0.5956 0.5956
Pt 0.8668 0.8668 0.8668

=====

[3]
! La2Ga3Cu12Pt, relaxed, DFT GGA-PBE; values from VASP
! Energy relative to the elements, eV per atom: 0.0097
! VASP energy, eV/atom: -4.109
! Calculated density, g/cm3: 7.846
&SYSTEM
  ibrav = 0, nat = 18, ntyp = 4
/
ATOMIC_SPECIES
La 138.91 La.upf
Ga 69.72 Ga.upf
Cu 63.55 Cu.upf
Pt 195.08 Pt.upf
CELL_PARAMETERS angstrom
3.0825 1.7797 9.2883
-3.0825 1.7797 9.2883
0.0000 -3.5594 9.2883
ATOMIC_POSITIONS crystal
La 0.1510 0.1510 0.1510
La 0.8490 0.8490 0.8490
Ga 0.0000 0.5000 0.5000
Ga 0.5000 0.0000 0.5000
Ga 0.5000 0.5000 0.0000
Cu 0.0812 0.0812 0.6920
Cu 0.0812 0.6920 0.0812
Cu 0.1443 0.5686 0.5686
Cu 0.3080 0.9188 0.9188
Cu 0.4314 0.4314 0.8557
Cu 0.4314 0.8557 0.4314
Cu 0.5686 0.1443 0.5686
Cu 0.5686 0.5686 0.1443
Cu 0.6920 0.0812 0.0812
Cu 0.8557 0.4314 0.4314
Cu 0.9188 0.3080 0.9188
Cu 0.9188 0.9188 0.3080
Pt 0.5000 0.5000 0.5000

=====

[4]
! La2Ga3Cu4Pt, relaxed, DFT GGA-PBE; values from VASP
! Energy relative to the elements, eV per atom: -0.4662
! VASP energy, eV/atom: -4.602
! Calculated density, g/cm3: 8.314
&SYSTEM
  ibrav = 0, nat = 10, ntyp = 4
/
ATOMIC_SPECIES
La 138.91 La.upf
Ga 69.72 Ga.upf
Cu 63.55 Cu.upf
Pt 195.08 Pt.upf
CELL_PARAMETERS angstrom
4.2677 0.0000 0.0000
0.0000 4.2677 0.0000
0.0000 0.0000 10.2669
ATOMIC_POSITIONS crystal
La 0.0000 0.5000 0.2462
La 0.5000 0.0000 0.7538
Ga 0.0000 0.0000 0.0000
Ga 0.0000 0.5000 0.6225
Ga 0.5000 0.0000 0.3775
Cu 0.0000 0.0000 0.5000
Cu 0.0000 0.5000 0.8616
Cu 0.5000 0.0000 0.1384
Cu 0.5000 0.5000 0.5000
Pt 0.5000 0.5000 0.0000

=====

[5]
! LaGaCuPt2, relaxed, DFT GGA-PBE; values from VASP
! Energy relative to the elements, eV per atom: -0.7940
! VASP energy, eV/atom: -5.620
! Calculated density, g/cm3: 11.265
&SYSTEM
  ibrav = 0, nat = 10, ntyp = 4
/
ATOMIC_SPECIES
La 138.91 La.upf
Ga 69.72 Ga.upf
Cu 63.55 Cu.upf
Pt 195.08 Pt.upf
CELL_PARAMETERS angstrom
4.0432 0.0000 0.0000
0.0000 4.0432 0.0000
0.0000 0.0000 11.9443
ATOMIC_POSITIONS crystal
La 0.0000 0.0000 0.0000
La 0.5000 0.5000 0.5000
Ga 0.0000 0.5000 0.7500
Ga 0.5000 0.0000 0.2500
Cu 0.0000 0.5000 0.2500
Cu 0.5000 0.0000 0.7500
Pt 0.0000 0.0000 0.3859
Pt 0.0000 0.0000 0.6141
Pt 0.5000 0.5000 0.1141
Pt 0.5000 0.5000 0.8859

=====

[6]
! LaGa4Cu2Pt, relaxed, DFT GGA-PBE; values from VASP
! Energy relative to the elements, eV per atom: -0.4241
! VASP energy, eV/atom: -4.333
! Calculated density, g/cm3: 8.542
&SYSTEM
  ibrav = 0, nat = 8, ntyp = 4
/
ATOMIC_SPECIES
La 138.91 La.upf
Ga 69.72 Ga.upf
Cu 63.55 Cu.upf
Pt 195.08 Pt.upf
CELL_PARAMETERS angstrom
2.1167 1.2221 9.2681
-2.1167 1.2221 9.2681
0.0000 -2.4442 9.2681
ATOMIC_POSITIONS crystal
La 0.0000 0.0000 0.0000
Ga 0.1287 0.1287 0.1287
Ga 0.4039 0.4039 0.4039
Ga 0.5961 0.5961 0.5961
Ga 0.8713 0.8713 0.8713
Cu 0.2432 0.2432 0.2432
Cu 0.7568 0.7568 0.7568
Pt 0.5000 0.5000 0.5000

=====

[7]
! LaGaCu2Pt4, relaxed, DFT GGA-PBE; values from VASP
! Energy relative to the elements, eV per atom: -0.5656
! VASP energy, eV/atom: -5.604
! Calculated density, g/cm3: 13.307
&SYSTEM
  ibrav = 0, nat = 8, ntyp = 4
/
ATOMIC_SPECIES
La 138.91 La.upf
Ga 69.72 Ga.upf
Cu 63.55 Cu.upf
Pt 195.08 Pt.upf
CELL_PARAMETERS angstrom
2.1571 1.2454 8.6404
-2.1571 1.2454 8.6404
0.0000 -2.4908 8.6404
ATOMIC_POSITIONS crystal
La 0.0000 0.0000 0.0000
Ga 0.5000 0.5000 0.5000
Cu 0.2432 0.2432 0.2432
Cu 0.7568 0.7568 0.7568
Pt 0.1313 0.1313 0.1313
Pt 0.4035 0.4035 0.4035
Pt 0.5965 0.5965 0.5965
Pt 0.8687 0.8687 0.8687

=====

[8]
! LaGa4CuRh2, relaxed, DFT GGA-PBE; values from VASP
! Energy relative to the elements, eV per atom: -0.5508
! VASP energy, eV/atom: -5.030
! Calculated density, g/cm3: 8.038
&SYSTEM
  ibrav = 0, nat = 8, ntyp = 4
/
ATOMIC_SPECIES
La 138.91 La.upf
Ga 69.72 Ga.upf
Cu 63.55 Cu.upf
Rh 102.91 Rh.upf
CELL_PARAMETERS angstrom
2.1472 1.2397 8.8884
-2.1472 1.2397 8.8884
0.0000 -2.4794 8.8884
ATOMIC_POSITIONS crystal
La 0.0000 0.0000 0.0000
Ga 0.1288 0.1288 0.1288
Ga 0.4036 0.4036 0.4036
Ga 0.5964 0.5964 0.5964
Ga 0.8712 0.8712 0.8712
Cu 0.5000 0.5000 0.5000
Rh 0.2258 0.2258 0.2258
Rh 0.7742 0.7742 0.7742

=====

[9]
! La2Ga2CuRh5, relaxed, DFT GGA-PBE; values from VASP
! Energy relative to the elements, eV per atom: -0.5460
! VASP energy, eV/atom: -6.222
! Calculated density, g/cm3: 9.294
&SYSTEM
  ibrav = 0, nat = 20, ntyp = 4
/
ATOMIC_SPECIES
La 138.91 La.upf
Ga 69.72 Ga.upf
Cu 63.55 Cu.upf
Rh 102.91 Rh.upf
CELL_PARAMETERS angstrom
10.0084 0.0000 0.0000
0.0000 10.0084 0.0000
0.0000 0.0000 3.5505
ATOMIC_POSITIONS crystal
La 0.1763 0.3237 0.0000
La 0.3237 0.8237 0.0000
La 0.6763 0.1763 0.0000
La 0.8237 0.6763 0.0000
Ga 0.1237 0.6237 0.0000
Ga 0.3763 0.1237 0.0000
Ga 0.6237 0.8763 0.0000
Ga 0.8763 0.3763 0.0000
Cu 0.0000 0.0000 0.0000
Cu 0.5000 0.5000 0.0000
Rh 0.0000 0.5000 0.5000
Rh 0.0623 0.7963 0.5000
Rh 0.2037 0.0623 0.5000
Rh 0.2963 0.5623 0.5000
Rh 0.4377 0.2963 0.5000
Rh 0.5000 0.0000 0.5000
Rh 0.5623 0.7037 0.5000
Rh 0.7037 0.4377 0.5000
Rh 0.7963 0.9377 0.5000
Rh 0.9377 0.2037 0.5000

=====

[10]
! La2GaCu2Rh5, relaxed, DFT GGA-PBE; values from VASP
! Energy relative to the elements, eV per atom: -0.4593
! VASP energy, eV/atom: -6.242
! Calculated density, g/cm3: 9.526
&SYSTEM
  ibrav = 0, nat = 20, ntyp = 4
/
ATOMIC_SPECIES
La 138.91 La.upf
Ga 69.72 Ga.upf
Cu 63.55 Cu.upf
Rh 102.91 Rh.upf
CELL_PARAMETERS angstrom
9.5341 0.0000 0.0000
0.0000 9.5341 0.0000
0.0000 0.0000 3.7938
ATOMIC_POSITIONS crystal
La 0.1754 0.3246 0.0000
La 0.3246 0.8246 0.0000
La 0.6754 0.1754 0.0000
La 0.8246 0.6754 0.0000
Ga 0.0000 0.0000 0.0000
Ga 0.5000 0.5000 0.0000
Cu 0.1233 0.6233 0.0000
Cu 0.3767 0.1233 0.0000
Cu 0.6233 0.8767 0.0000
Cu 0.8767 0.3767 0.0000
Rh 0.0000 0.5000 0.5000
Rh 0.0658 0.7993 0.5000
Rh 0.2007 0.0658 0.5000
Rh 0.2993 0.5658 0.5000
Rh 0.4342 0.2993 0.5000
Rh 0.5000 0.0000 0.5000
Rh 0.5658 0.7007 0.5000
Rh 0.7007 0.4342 0.5000
Rh 0.7993 0.9342 0.5000
Rh 0.9342 0.2007 0.5000

=====

[11]
! LaGa4Cu2Rh, relaxed, DFT GGA-PBE; values from VASP
! Energy relative to the elements, eV per atom: -0.4159
! VASP energy, eV/atom: -4.488
! Calculated density, g/cm3: 7.620
&SYSTEM
  ibrav = 0, nat = 8, ntyp = 4
/
ATOMIC_SPECIES
La 138.91 La.upf
Ga 69.72 Ga.upf
Cu 63.55 Cu.upf
Rh 102.91 Rh.upf
CELL_PARAMETERS angstrom
2.1085 1.2174 9.1657
-2.1085 1.2174 9.1657
0.0000 -2.4347 9.1657
ATOMIC_POSITIONS crystal
La 0.0000 0.0000 0.0000
Ga 0.1304 0.1304 0.1304
Ga 0.4048 0.4048 0.4048
Ga 0.5952 0.5952 0.5952
Ga 0.8696 0.8696 0.8696
Cu 0.2344 0.2344 0.2344
Cu 0.7656 0.7656 0.7656
Rh 0.5000 0.5000 0.5000

=====

[12]
! La2Ga3CuRh4, relaxed, DFT GGA-PBE; values from VASP
! Energy relative to the elements, eV per atom: -0.7177
! VASP energy, eV/atom: -5.961
! Calculated density, g/cm3: 8.429
&SYSTEM
  ibrav = 0, nat = 10, ntyp = 4
/
ATOMIC_SPECIES
La 138.91 La.upf
Ga 69.72 Ga.upf
Cu 63.55 Cu.upf
Rh 102.91 Rh.upf
CELL_PARAMETERS angstrom
4.2898 0.0000 0.0000
0.0000 4.2898 0.0000
0.0000 0.0000 10.2997
ATOMIC_POSITIONS crystal
La 0.0000 0.5000 0.2485
La 0.5000 0.0000 0.7515
Ga 0.0000 0.5000 0.8765
Ga 0.5000 0.0000 0.1235
Ga 0.5000 0.5000 0.5000
Cu 0.0000 0.0000 0.5000
Rh 0.0000 0.0000 0.0000
Rh 0.0000 0.5000 0.6345
Rh 0.5000 0.0000 0.3655
Rh 0.5000 0.5000 0.0000